# Al2ZnCo SCAN PBEsol geometry
# - formation enthalpy at 0 K (eV/atom) = -0.1961
data_Al2ZnCo
_chemical_formula_sum 'Al2 Zn1 Co1'
_cell_length_a 3.1663
_cell_length_b 3.1663
_cell_length_c 5.2485
_cell_angle_alpha 90.00
_cell_angle_beta 90.00
_cell_angle_gamma 90.00
_space_group_name_H-M_alt 'P 4 m m'
_space_group_IT_number 99
loop_
_space_group_symop_operation_xyz
'x,y,z'
'-y,x,z'
'-x,-y,z'
'y,-x,z'
'-x,y,z'
'y,x,z'
'x,-y,z'
'-y,-x,z'
loop_
_atom_site_label
_atom_site_type_symbol
_atom_site_fract_x
_atom_site_fract_y
_atom_site_fract_z
Al1 Al 0.0000 0.0000 0.0000
Al2 Al 0.5000 0.5000 0.2913
Zn1 Zn 0.5000 0.5000 0.7555
Co1 Co 0.0000 0.0000 0.4982